The following is a DFT calculation (GGA-PBE) of a geometry-optimized Tl5Pb2Se5 structure.

abc: 7.8063 7.8063 12.8289
angles: 109.74 109.74 33.65
Atoms (fractional coordinates):
Tl 0.0000 0.0000 0.0000
Tl 0.1615 0.1615 0.5512
Tl 0.2316 0.2316 0.8507
Tl 0.7684 0.7684 0.1493
Tl 0.8385 0.8385 0.4488
Pb 0.4614 0.4614 0.7138
Pb 0.5386 0.5386 0.2862
Se 0.1596 0.1596 0.2836
Se 0.3799 0.3799 0.0805
Se 0.5000 0.5000 0.5000
Se 0.6201 0.6201 0.9195
Se 0.8404 0.8404 0.7164

Calculated values
total energy = -41.0 eV/cell
magnetic moment = 0.000 μB/atom

The following is a DFT calculation (GGA-PBE) of a geometry-optimized Tl2PbSe structure.

abc: 8.3154 8.3154 8.3154
angles: 131.33 131.33 71.29
Atoms (fractional coordinates):
Tl 0.1094 0.6250 0.9844
Tl 0.3750 0.3594 0.4844
Tl 0.6406 0.1250 0.0156
Tl 0.8750 0.8906 0.5156
Pb 0.2500 0.7500 0.5000
Pb 0.5000 0.5000 0.0000
Se 0.0000 0.0000 0.0000
Se 0.7500 0.2500 0.5000

Calculated values
magnetic moment = 0.000 μB/atom
offset from the most stable computed form = 0.197 eV per atom

The following is a DFT calculation (GGA-PBE) of a geometry-optimized Tl3PbSe structure.

abc: 5.9242 5.9242 5.9242
angles: 90.00 90.00 90.00
Atoms (fractional coordinates):
Tl 0.0000 0.0000 0.5000
Tl 0.0000 0.5000 0.0000
Tl 0.5000 0.0000 0.0000
Pb 0.0000 0.0000 0.0000
Se 0.5000 0.5000 0.5000

Calculated values
magnetic moment = 0.000 μB/atom
offset from the most stable computed form = 0.081 eV per atom

The following is a DFT calculation (GGA-PBE) of a geometry-optimized Tl2PbSe structure.

abc: 4.1795 4.1795 7.0734
angles: 90.00 90.00 90.00
Atoms (fractional coordinates):
Tl 0.0000 0.0000 0.0000
Tl 0.5000 0.5000 0.2434
Pb 0.0000 0.0000 0.5422
Se 0.5000 0.5000 0.6775

Calculated values
magnetic moment = 0.000 μB/atom
offset from the most stable computed form = 0.011 eV per atom

The following is a DFT calculation (GGA-PBE) of a geometry-optimized Tl2PbSe structure.

abc: 5.4951 5.4951 5.4951
angles: 60.00 60.00 60.00
Atoms (fractional coordinates):
Tl 0.2500 0.2500 0.2500
Tl 0.7500 0.7500 0.7500
Pb 0.0000 0.0000 0.0000
Se 0.5000 0.5000 0.5000

Calculated values
magnetic moment = 0.000 μB/atom
offset from the most stable computed form = 0.188 eV per atom

The following is a DFT calculation (GGA-PBE) of a geometry-optimized Tl3PbSe2 structure.

abc: 9.2736 9.2736 11.7838
angles: 115.30 115.30 26.17
Atoms (fractional coordinates):
Tl 0.0507 0.0507 0.1869
Tl 0.2005 0.2005 0.5562
Tl 0.3080 0.3080 0.8965
Tl 0.6920 0.6920 0.1035
Tl 0.7995 0.7995 0.4438
Tl 0.9493 0.9493 0.8131
Pb 0.3952 0.3952 0.3104
Pb 0.6048 0.6048 0.6896
Se 0.1368 0.1368 0.8937
Se 0.4319 0.4319 0.6109
Se 0.5681 0.5681 0.3891
Se 0.8632 0.8632 0.1063

Calculated values
total energy = -39.1 eV/cell
magnetic moment = 0.000 μB/atom

The following is a DFT calculation (GGA-PBE) of a geometry-optimized Tl2PbSe structure.

abc: 6.4676 6.4676 6.4676
angles: 143.41 129.96 63.56
Atoms (fractional coordinates):
Tl 0.0000 0.0000 0.0000
Tl 0.7169 0.2169 0.5000
Pb 0.2897 0.7897 0.5000
Se 0.4843 0.4843 0.0000

Calculated values
magnetic moment = 0.000 μB/atom
offset from the most stable computed form = 0.000 eV per atom

The following is a DFT calculation (GGA-PBE) of a geometry-optimized TlPb2Se2 structure.

abc: 8.5100 8.5100 4.0128
angles: 90.00 90.00 90.00
Atoms (fractional coordinates):
Tl 0.0000 0.0000 0.0000
Tl 0.5000 0.5000 0.0000
Pb 0.1493 0.3507 0.5000
Pb 0.3507 0.8507 0.5000
Pb 0.6493 0.1493 0.5000
Pb 0.8507 0.6493 0.5000
Se 0.1500 0.6500 0.0000
Se 0.3500 0.1500 0.0000
Se 0.6500 0.8500 0.0000
Se 0.8500 0.3500 0.0000

Calculated values
magnetic moment = 0.000 μB/atom
offset from the most stable computed form = 0.000 eV per atom

The following is a DFT calculation (GGA-PBE) of a geometry-optimized Tl2PbSe structure.

abc: 9.3980 9.3980 9.3980
angles: 24.41 24.41 24.41
Atoms (fractional coordinates):
Tl 0.2363 0.2363 0.2363
Tl 0.7637 0.7637 0.7637
Pb 0.0000 0.0000 0.0000
Se 0.5000 0.5000 0.5000

Calculated values
magnetic moment = 0.000 μB/atom
offset from the most stable computed form = 0.074 eV per atom

The following is a DFT calculation (GGA-PBE) of a geometry-optimized TlPb2Se2 structure.

abc: 6.5843 6.5843 6.5843
angles: 129.19 129.19 74.71
Atoms (fractional coordinates):
Tl 0.0000 0.0000 0.0000
Pb 0.3441 0.3441 0.0000
Pb 0.6559 0.6559 0.0000
Se 0.2500 0.7500 0.5000
Se 0.7500 0.2500 0.5000

Calculated values
magnetic moment = 0.000 μB/atom
offset from the most stable computed form = 0.031 eV per atom

The following is a DFT calculation (GGA-PBE) of a geometry-optimized TlPbSe structure.

abc: 4.0270 4.0270 6.7080
angles: 90.00 90.00 120.00
Atoms (fractional coordinates):
Tl 0.0000 0.0000 0.0000
Pb 0.6667 0.3333 0.4166
Se 0.3333 0.6667 0.6876

Calculated values
magnetic moment = 0.000 μB/atom
offset from the most stable computed form = 0.015 eV per atom

The following is a DFT calculation (GGA-PBE) of a geometry-optimized Tl2PbSe structure.

abc: 4.6948 4.1889 6.3267
angles: 90.00 97.74 90.00
Atoms (fractional coordinates):
Tl 0.0772 0.0000 0.2675
Tl 0.9228 0.0000 0.7325
Pb 0.5000 0.5000 0.0000
Se 0.5000 0.5000 0.5000

Calculated values
magnetic moment = 0.000 μB/atom
offset from the most stable computed form = 0.058 eV per atom

no.,calculated density (kg/m3)
1,7501
2,7272
3,7182
4,9339
5,9835
6,8090
7,9449
8,8876
9,9262
10,7720
11,8646
12,9360